The following is a DFT calculation (PBE) of a geometry-optimized HfTcHg2Ir structure.

a b c (Å): 5.088 4.678 5.088
angles (deg): 90.00 90.00 90.00
Last column: magnetic moment on the atom in μB.
Element x y z (fractional)
Tc  0.000  0.500  0.000  1.10
Ir  0.000  0.000  0.000  0.00
Hg  0.000  0.000  0.500  0.00
Hg  0.500  0.000  0.000  0.01
Hf  0.500  0.500  0.500  -0.24

Results
- ΔH_f (0 K): 1207 meV/atom
- E_tot: -23.8 eV per formula unit

The following is a DFT calculation (PBE) of a geometry-optimized YHfHgIr structure.

a b c (Å): 4.911 4.911 4.911
angles (deg): 60.00 60.00 60.00
Element x y z (fractional)
Hg  0.000  0.000  0.000
Ir  0.500  0.500  0.500
Hf  0.750  0.750  0.750
Y  0.250  0.250  0.250

Results
- ΔH_f (0 K): -421 meV/atom
- E_tot: -27.3 eV per formula unit

The following is a DFT calculation (PBE) of a geometry-optimized K2HfHg2 structure.

a b c (Å): 9.812 9.812 3.163
angles (deg): 90.00 90.00 90.00
Element x y z (fractional)
K  0.128  0.372  0.000
Hf  0.500  0.500  0.000
Hg  0.326  0.174  0.500
K  0.872  0.628  0.000
Hg  0.674  0.826  0.500
Hg  0.174  0.674  0.500
Hf  0.000  0.000  0.000
K  0.628  0.128  0.000
K  0.372  0.872  0.000
Hg  0.826  0.326  0.500

Results
- ΔH_f (0 K): 540 meV/atom
- E_tot: -10.1 eV per formula unit

The following is a DFT calculation (PBE) of a geometry-optimized K3HfHg structure.

a b c (Å): 6.396 6.396 6.396
angles (deg): 90.00 90.00 90.00
Last column: magnetic moment on the atom in μB.
Element x y z (fractional)
K  0.000  0.000  0.500  0.02
K  0.000  0.500  0.000  0.01
K  0.500  0.000  0.000  0.01
Hg  0.000  0.000  0.000  0.02
Hf  0.500  0.500  0.500  1.37

Results
- ΔH_f (0 K): 993 meV/atom
- E_tot: -8.6 eV per formula unit